Entry from Alexandria via LeMat-Bulk: a relaxed structure of AsIrOs3 (PBE).

abc: 4.457 4.457 4.457
angles: 90.00 90.00 90.00
Fractional positions:
As (0.000, 0.000, 0.000)
Ir (0.500, 0.500, 0.500)
Os (0.000, 0.000, 0.500)
Os (0.000, 0.500, 0.000)
Os (0.500, 0.000, 0.000)

Properties
The density of states at the Fermi level comes out at 1.074 states/eV/atom. As for the energy of formation from the pure elements: 1.9165 eV/atom. Its volume is 17.702 Å³/atom. The calculation puts the raw total energy at -7.523 eV/atom.